[1]
# TiCrHgB2, single point on PBEsol structure, DFT SCAN
# Energy of formation   929 meV/atom
# Calculated volume   71 Å³ per cell
# Final energy   -112.8 eV/cell
data_TiCrHgB2
_chemical_formula_sum 'Ti1 Cr1 Hg1 B2'
_space_group_name_H-M_alt 'P 4/m m m'
_space_group_IT_number 123
_space_group_name_Hall '-P 4 2'
_cell_length_a 4.038
_cell_length_b 4.038
_cell_length_c 4.348
_cell_angle_alpha 90.00
_cell_angle_beta 90.00
_cell_angle_gamma 90.00
loop_
_atom_site_label
_atom_site_type_symbol
_atom_site_fract_x
_atom_site_fract_y
_atom_site_fract_z
Ti1 Ti 0.000 0.000 0.000
Cr1 Cr 0.000 0.000 0.500
Hg1 Hg 0.500 0.500 0.000
B1 B 0.000 0.500 0.500

---

[2]
# K2SbF5, single point on PBEsol structure, DFT SCAN
# Uncorrected formation energy   -2146 kJ/mol of formula units
# Calculated volume   543 Å³ per cell
# Final energy   -375.4 eV/cell
data_K2SbF5
_chemical_formula_sum 'K8 Sb4 F20'
_space_group_name_H-M_alt 'C m c m'
_space_group_IT_number 63
_space_group_name_Hall '-C 2c 2'
_cell_length_a 6.257
_cell_length_b 13.333
_cell_length_c 6.503
_cell_angle_alpha 90.00
_cell_angle_beta 90.00
_cell_angle_gamma 90.00
loop_
_atom_site_label
_atom_site_type_symbol
_atom_site_fract_x
_atom_site_fract_y
_atom_site_fract_z
K1 K 0.000 0.063 0.250
K2 K 0.000 0.254 0.750
Sb1 Sb 0.000 0.412 0.250
F1 F 0.000 0.264 0.250
F2 F 0.237 0.382 0.031

---

[3]
# NdPS4, single point on PBEsol structure, DFT SCAN
# Uncorrected formation energy   -730 kJ/mol of formula units
# Calculated volume   2227 Å³ per cell
# Final energy   -1601.0 eV/cell
data_NdPS4
_chemical_formula_sum 'Nd16 P16 S64'
_space_group_name_H-M_alt 'I 41/a c d'
_space_group_IT_number 142
_cell_length_a 10.797
_cell_length_b 10.797
_cell_length_c 19.107
_cell_angle_alpha 90.00
_cell_angle_beta 90.00
_cell_angle_gamma 90.00
loop_
_space_group_symop_operation_xyz
'x,y,z'
'-x,-y,-z'
'-y+1/4,x+3/4,z+1/4'
'y+1/4,-x+3/4,-z+1/4'
'-x+1/2,-y,z+1/2'
'x+1/2,y,-z+1/2'
'y+1/4,-x+1/4,z+3/4'
'-y+1/4,x+1/4,-z+3/4'
'x,-y,-z+1/2'
'-x,y,z+1/2'
'-y+1/4,-x+1/4,-z+1/4'
'y+1/4,x+1/4,z+1/4'
'-x+1/2,y,-z'
'x+1/2,-y,z'
'y+1/4,x+3/4,-z+3/4'
'-y+1/4,-x+3/4,z+3/4'
'x+1/2,y+1/2,z+1/2'
'-x+1/2,-y+1/2,-z+1/2'
'-y+3/4,x+1/4,z+3/4'
'y+3/4,-x+1/4,-z+3/4'
'-x,-y+1/2,z'
'x,y+1/2,-z'
'y+3/4,-x+3/4,z+1/4'
'-y+3/4,x+3/4,-z+1/4'
'x+1/2,-y+1/2,-z'
'-x+1/2,y+1/2,z'
'-y+3/4,-x+3/4,-z+3/4'
'y+3/4,x+3/4,z+3/4'
'-x,y+1/2,-z+1/2'
'x,-y+1/2,z+1/2'
'y+3/4,x+1/4,-z+1/4'
'-y+3/4,-x+1/4,z+1/4'
loop_
_atom_site_label
_atom_site_type_symbol
_atom_site_fract_x
_atom_site_fract_y
_atom_site_fract_z
Nd1 Nd 0.000 0.250 0.125
Nd2 Nd 0.000 0.250 0.375
P1 P 0.038 0.000 0.250
S1 S 0.069 0.002 0.838
S2 S 0.090 0.110 0.002

---

[4]
# BaAgBi2, single point on PBEsol structure, DFT SCAN
# Energy of formation   -198 meV/atom
# Calculated volume   480 Å³ per cell
# Final energy   -915.5 eV/cell
data_BaAgBi2
_chemical_formula_sum 'Ba4 Ag4 Bi8'
_space_group_name_H-M_alt 'F m -3 m'
_space_group_IT_number 225
_space_group_name_Hall '-F 4 2 3'
_cell_length_a 7.830
_cell_length_b 7.830
_cell_length_c 7.830
_cell_angle_alpha 90.00
_cell_angle_beta 90.00
_cell_angle_gamma 90.00
loop_
_atom_site_label
_atom_site_type_symbol
_atom_site_fract_x
_atom_site_fract_y
_atom_site_fract_z
Ba1 Ba 0.000 0.000 0.000
Ag1 Ag 0.000 0.000 0.500
Bi1 Bi 0.250 0.250 0.250

---

[5]
# AlSiSe, single point on PBEsol structure, DFT SCAN
# Uncorrected formation energy   38 kJ/mol of formula units
# Calculated volume   55 Å³ per cell
# Final energy   -37.5 eV/cell
data_AlSiSe
_chemical_formula_sum 'Al1 Si1 Se1'
_space_group_name_H-M_alt 'P 3 m 1'
_space_group_IT_number 156
_cell_length_a 3.5578
_cell_length_b 3.5578
_cell_length_c 5.0405
_cell_angle_alpha 90.00
_cell_angle_beta 90.00
_cell_angle_gamma 120.00
loop_
_space_group_symop_operation_xyz
'x,y,z'
'-y,x-y,z'
'-x+y,-x,z'
'-y,-x,z'
'-x+y,y,z'
'x,x-y,z'
loop_
_atom_site_label
_atom_site_type_symbol
_atom_site_fract_x
_atom_site_fract_y
_atom_site_fract_z
Al1 Al 0.0000 0.0000 0.0000
Si1 Si 0.6667 0.3333 0.3234
Se1 Se 0.3333 0.6667 0.6802

---

[6]
# ZnNi3C, single point on PBEsol structure, DFT SCAN
# Energy of formation   -16 meV/atom
# Calculated volume   51 Å³ per cell
# Final energy   -72.2 eV/cell
data_ZnNi3C
_chemical_formula_sum 'Zn1 Ni3 C1'
_space_group_name_H-M_alt 'P m -3 m'
_space_group_IT_number 221
_space_group_name_Hall '-P 4 2 3'
_cell_length_a 3.714
_cell_length_b 3.714
_cell_length_c 3.714
_cell_angle_alpha 90.00
_cell_angle_beta 90.00
_cell_angle_gamma 90.00
loop_
_atom_site_label
_atom_site_type_symbol
_atom_site_fract_x
_atom_site_fract_y
_atom_site_fract_z
Zn1 Zn 0.000 0.000 0.000
Ni1 Ni 0.000 0.500 0.500
C1 C 0.500 0.500 0.500

---

[7]
# DyRhO3, single point on PBEsol structure, DFT SCAN
# Uncorrected formation energy   -1216 kJ/mol of formula units
# Calculated volume   223 Å³ per cell
# Final energy   -451.5 eV/cell
data_DyRhO3
_chemical_formula_sum 'Dy4 Rh4 O12'
_space_group_name_H-M_alt 'P n m a'
_space_group_IT_number 62
_cell_length_a 5.757
_cell_length_b 7.501
_cell_length_c 5.154
_cell_angle_alpha 90.00
_cell_angle_beta 90.00
_cell_angle_gamma 90.00
loop_
_space_group_symop_operation_xyz
'x,y,z'
'-x,-y,-z'
'-x+1/2,-y,z+1/2'
'x+1/2,y,-z+1/2'
'x+1/2,-y+1/2,-z+1/2'
'-x+1/2,y+1/2,z+1/2'
'-x,y+1/2,-z'
'x,-y+1/2,z'
loop_
_atom_site_label
_atom_site_type_symbol
_atom_site_fract_x
_atom_site_fract_y
_atom_site_fract_z
Dy1 Dy 0.088 0.250 0.034
Rh1 Rh 0.000 0.000 0.500
O1 O 0.051 0.750 0.366
O2 O 0.190 0.560 0.827

---

[8]
# PrP2Ru2, single point on PBEsol structure, DFT SCAN
# Energy of formation   -1101 meV/atom
# Calculated volume   161 Å³ per cell
# Final energy   -278.6 eV/cell
data_PrP2Ru2
_chemical_formula_sum 'Pr2 P4 Ru4'
_space_group_name_H-M_alt 'I 4/m m m'
_space_group_IT_number 139
_space_group_name_Hall '-I 4 2'
_cell_length_a 4.035
_cell_length_b 4.035
_cell_length_c 9.895
_cell_angle_alpha 90.00
_cell_angle_beta 90.00
_cell_angle_gamma 90.00
loop_
_atom_site_label
_atom_site_type_symbol
_atom_site_fract_x
_atom_site_fract_y
_atom_site_fract_z
Pr1 Pr 0.000 0.000 0.000
P1 P 0.000 0.000 0.369
Ru1 Ru 0.000 0.500 0.250